No. 1
Mg2CdH24Br6O12 | GGA-PBEsol | relaxed

Unit cell a=8.6363 b=8.6363 c=8.6363 alpha=71.18 beta=71.18 gamma=71.18
Last column: nearest neighbours and their distance in Å.
Positions (direct):
Mg 0.1966 0.1966 0.1966  6 O 2.06
Mg 0.8034 0.8034 0.8034  6 O 2.06
Cd 0.5000 0.5000 0.5000  6 Br 2.78
H 0.0075 0.3847 0.9671  1 O 0.98
H 0.0278 0.5893 0.6195  1 O 0.99
H 0.0329 0.9925 0.6153  1 O 0.98
H 0.1194 0.6875 0.8616  1 O 0.99
H 0.1240 0.3217 0.4717  1 O 0.99
H 0.1384 0.8806 0.3125  1 O 0.99
H 0.3125 0.1384 0.8806  1 O 0.99
H 0.3217 0.4717 0.1240  1 O 0.99
H 0.3805 0.9722 0.4107  1 O 0.99
H 0.3847 0.9671 0.0075  1 O 0.98
H 0.4107 0.3805 0.9722  1 O 0.99
H 0.4717 0.1240 0.3217  1 O 0.99
H 0.5283 0.8760 0.6783  1 O 0.99
H 0.5893 0.6195 0.0278  1 O 0.99
H 0.6153 0.0329 0.9925  1 O 0.98
H 0.6195 0.0278 0.5893  1 O 0.99
H 0.6783 0.5283 0.8760  1 O 0.99
H 0.6875 0.8616 0.1194  1 O 0.99
H 0.8616 0.1194 0.6875  1 O 0.99
H 0.8760 0.6783 0.5283  1 O 0.99
H 0.8806 0.3125 0.1384  1 O 0.99
H 0.9671 0.0075 0.3847  1 O 0.98
H 0.9722 0.4107 0.3805  1 O 0.99
H 0.9925 0.6153 0.0329  1 O 0.98
Br 0.2309 0.3495 0.6621  3 H 2.23-2.28
Br 0.3379 0.7691 0.6505  3 H 2.23-2.28
Br 0.3495 0.6621 0.2309  3 H 2.23-2.28
Br 0.6505 0.3379 0.7691  3 H 2.23-2.28
Br 0.6621 0.2309 0.3495  3 H 2.23-2.28
Br 0.7691 0.6505 0.3379  3 H 2.23-2.28
O 0.0029 0.6736 0.9135  2 H 0.98-0.99
O 0.0672 0.3093 0.3943  2 H 0.99
O 0.0865 0.9971 0.3264  2 H 0.98-0.99
O 0.3093 0.3943 0.0672  2 H 0.99
O 0.3264 0.0865 0.9971  2 H 0.98-0.99
O 0.3943 0.0672 0.3093  2 H 0.99
O 0.6057 0.9328 0.6907  2 H 0.99
O 0.6736 0.9135 0.0029  2 H 0.98-0.99
O 0.6907 0.6057 0.9328  2 H 0.99
O 0.9135 0.0029 0.6736  2 H 0.98-0.99
O 0.9328 0.6907 0.6057  2 H 0.99
O 0.9971 0.3264 0.0865  2 H 0.98-0.99

## Properties
Symmetry = R-3
E_tot = -4.642 eV/atom

---

No. 2
YCoIr2 | GGA-PBEsol | relaxed

Unit cell a=2.9474 b=3.4667 c=6.2156 alpha=90.00 beta=90.00 gamma=90.00
Last column: nearest neighbours and their distance in Å.
Positions (direct):
Y 0.0000 0.0000 0.0000  8 Ir 2.91, 2 Y 2.95, 2 Co 3.11
Co 0.0000 0.0000 0.5000  8 Ir 2.61
Ir 0.5000 0.5000 0.2929  1 Ir 2.57, 4 Co 2.61
Ir 0.5000 0.5000 0.7071  1 Ir 2.57, 4 Co 2.61

## Properties
Formation enthalpy at 0 K = -7 kJ/mol of atoms
Symmetry = Pmmm
E_tot = -8.628 eV/atom
Energy above the lowest structure with this stoichiometry = 0 meV per atom

---

No. 3
Sb2IrPbI | GGA-PBEsol | relaxed

Unit cell a=5.6119 b=5.6119 c=5.6755 alpha=90.00 beta=90.00 gamma=90.00
Last column: nearest neighbours and their distance in Å.
Positions (direct):
Sb 0.0000 0.5000 0.0000  2 Pb 2.81
Sb 0.5000 0.0000 0.0000  2 Pb 2.81
Ir 0.0000 0.0000 0.5000  4 I 3.97, 8 Sb 3.99
Pb 0.5000 0.5000 0.0000  4 Sb 2.81, 2 I 2.84
I 0.5000 0.5000 0.5000  2 Pb 2.84

## Properties
Symmetry = P4/mmm
E_tot = -3.064 eV/atom

---

No. 4
BaInP2Cl | GGA-PBEsol | relaxed

Unit cell a=4.9453 b=4.9453 c=5.5055 alpha=90.00 beta=90.00 gamma=90.00
Last column: nearest neighbours and their distance in Å.
Positions (direct):
Ba 0.0000 0.0000 0.0000  4 Cl 3.50, 8 P 3.70
In 0.5000 0.5000 0.5000  4 P 2.47, 2 Cl 2.75
P 0.0000 0.5000 0.5000  2 In 2.47
P 0.5000 0.0000 0.5000  2 In 2.47
Cl 0.5000 0.5000 0.0000  2 In 2.75

## Properties
Symmetry = P4/mmm
E_tot = -4.185 eV/atom

---

No. 5
Ba3NaTa | GGA-PBEsol | relaxed

Unit cell a=6.1969 b=6.1969 c=6.1969 alpha=90.00 beta=90.00 gamma=90.00
Last column: nearest neighbours and their distance in Å.
Positions (direct):
Ba 0.0000 0.0000 0.5000  2 Na 3.10
Ba 0.0000 0.5000 0.0000  2 Na 3.10
Ba 0.5000 0.0000 0.0000  2 Na 3.10
Na 0.0000 0.0000 0.0000  6 Ba 3.10
Ta 0.5000 0.5000 0.5000  12 Ba 4.38

## Properties
Formation enthalpy at 0 K = 140 kJ/mol of atoms
Symmetry = Pm-3m
E_tot = -2.633 eV/atom

---

No. 6
SrInGeSe2 | GGA-PBEsol | relaxed

Unit cell a=5.6403 b=5.6403 c=5.6121 alpha=90.00 beta=90.00 gamma=90.00
Last column: nearest neighbours and their distance in Å.
Positions (direct):
Sr 0.0000 0.0000 0.0000  2 Ge 2.81, 4 Se 2.82
In 0.5000 0.5000 0.5000  8 Se 3.98, 4 Ge 3.99
Ge 0.0000 0.0000 0.5000  2 Sr 2.81
Se 0.0000 0.5000 0.0000  2 Sr 2.82
Se 0.5000 0.0000 0.0000  2 Sr 2.82

## Properties
Symmetry = P4/mmm
E_tot = -3.178 eV/atom
Energy above the lowest structure with this stoichiometry = 7 meV per atom

---

Among the records above, which one has the highest E_tot?
Ba3NaTa

---

E_tot of number 1 (Mg2CdH24Br6O12)?
-4.642 eV/atom

---

Which formula does entry 3 have?
Sb2IrPbI

---

Look up the E_tot of the second one.
-8.628 eV/atom